*w*
This record from Alexandria via LeMat-Bulk describes crystalline BaCr2Rh at its relaxed geometry. The functional is GGA-PBEsol.

abc: 4.290 4.290 4.421
angles: 90.00 90.00 90.00
Space group P4/mmm (No. 123)
Unique sites:
Ba (0.000, 0.000, 0.000) [1 per cell]
Cr (0.000, 0.500, 0.500) [2 per cell]
Rh (0.500, 0.500, 0.000) [1 per cell]



*x*
This record from Alexandria via LeMat-Bulk describes crystalline BaCr2Rh at its relaxed geometry. The functional is GGA-PBEsol.

abc: 2.937 4.240 6.474
angles: 90.00 99.14 90.00
Space group P2/m (No. 10)
Unique sites:
Ba (0.000, 0.000, 0.000) [1 per cell]
Cr (0.426, 0.500, 0.632) [2 per cell]
Rh (0.000, 0.000, 0.500) [1 per cell]



*y*
This record from Alexandria via LeMat-Bulk describes crystalline BaCr2Rh at its relaxed geometry. The functional is GGA-PBEsol.

abc: 4.389 4.389 8.275
angles: 90.00 90.00 90.00
Space group I4/mmm (No. 139)
Unique sites:
Ba (0.000, 0.000, 0.000) [2 per cell]
Cr (0.000, 0.500, 0.250) [4 per cell]
Rh (0.000, 0.000, 0.500) [2 per cell]



*x* takes first place; second place is 0.357 eV/atom up.



*w*
This record from Alexandria via LeMat-Bulk describes crystalline Ba2CrRh at its relaxed geometry. The functional is GGA-PBEsol.

abc: 3.567 3.567 9.244
angles: 90.00 90.00 90.00
Space group P4mm (No. 99)
Unique sites:
Ba (0.000, 0.000, 0.000) [1 per cell]
Ba (0.500, 0.500, 0.415) [1 per cell]
Cr (0.000, 0.000, 0.677) [1 per cell]
Rh (0.500, 0.500, 0.739) [1 per cell]



*x*
This record from Alexandria via LeMat-Bulk describes crystalline Ba2CrRh at its relaxed geometry. The functional is GGA-PBEsol.

abc: 7.682 7.682 7.682
angles: 90.00 90.00 90.00
Space group Fm-3m (No. 225)
Unique sites:
Ba (0.250, 0.250, 0.250) [8 per cell]
Cr (0.000, 0.000, 0.000) [4 per cell]
Rh (0.000, 0.000, 0.500) [4 per cell]



*w* takes first place; second place is 0.154 eV/atom up.



*w*
This record from Alexandria via LeMat-Bulk describes crystalline BaCrRu2 at its relaxed geometry. The functional is GGA-PBEsol.

abc: 2.973 5.126 9.996
angles: 90.00 90.00 90.00
Space group Imm2 (No. 44)
Unique sites:
Ba (0.000, 0.000, 0.000) [2 per cell]
Cr (0.000, 0.500, 0.792) [2 per cell]
Ru (0.000, 0.000, 0.512) [2 per cell]
Ru (0.000, 0.500, 0.218) [2 per cell]



*x*
This record from Alexandria via LeMat-Bulk describes crystalline BaCrRu2 at its relaxed geometry. The functional is GGA-PBEsol.

abc: 2.968 4.188 6.549
angles: 90.00 98.13 90.00
Space group Pm (No. 6)
Unique sites:
Ba (0.000, 0.000, 0.000) [1 per cell]
Cr (0.806, 0.500, 0.380) [1 per cell]
Ru (0.358, 0.000, 0.492) [1 per cell]
Ru (0.406, 0.500, 0.681) [1 per cell]



*x* takes first place; second place is 0.258 eV/atom up.